BaY3Nb: optimized geometry, GGA-PBE.

Results
Energy relative to the lowest polymorph listed for this composition in kJ/mol of atoms: 0.0
E_form in eV per atom: 0.3901
Spin magnetization in μB/atom: 0.000

Cell: 5.666 5.666 5.666 Å, 90.00 90.00 90.00°
Fractional coordinates of all 5 atoms:
Y  0.000  0.500  0.000
Y  0.000  0.000  0.500
Y  0.500  0.000  0.000
Nb  0.000  0.000  0.000
Ba  0.500  0.500  0.500